(1)
KLi2Al: optimized geometry, PBE-GGA.

Geometry as CIF:
```
data_KLi2Al
_chemical_formula_sum 'K2 Li4 Al2'
_symmetry_space_group_name_H-M 'C 1 2/m 1'
_symmetry_Int_Tables_number 12
_cell_length_a 7.564
_cell_length_b 7.568
_cell_length_c 3.314
_cell_angle_alpha 90.00
_cell_angle_beta 90.26
_cell_angle_gamma 90.00
loop_
_symmetry_equiv_pos_as_xyz
'x,y,z'
'-x,-y,-z'
'-x,y,-z'
'x,-y,z'
'x+1/2,y+1/2,z'
'-x+1/2,-y+1/2,-z'
'-x+1/2,y+1/2,-z'
'x+1/2,-y+1/2,z'
loop_
_atom_site_label
_atom_site_fract_x
_atom_site_fract_y
_atom_site_fract_z
_atom_site_occupancy
K1 0.000 0.000 0.000 1
Li1 0.250 0.250 0.500 1
Al1 0.000 0.500 0.000 1
```

Calculated values
formation energy from the elements	0.24	eV per atom



(2)
FeAg2Te: optimized geometry, PBE-GGA.

Geometry as CIF:
```
data_FeAg2Te
_chemical_formula_sum 'Fe2 Ag4 Te2'
_symmetry_space_group_name_H-M 'C 1 m 1'
_symmetry_Int_Tables_number 8
_cell_length_a 8.985
_cell_length_b 3.099
_cell_length_c 6.886
_cell_angle_alpha 90.00
_cell_angle_beta 116.62
_cell_angle_gamma 90.00
loop_
_symmetry_equiv_pos_as_xyz
'x,y,z'
'x,-y,z'
'x+1/2,y+1/2,z'
'x+1/2,-y+1/2,z'
loop_
_atom_site_label
_atom_site_fract_x
_atom_site_fract_y
_atom_site_fract_z
_atom_site_occupancy
Fe1 0.000 0.000 0.000 1
Ag1 0.226 0.000 0.857 1
Ag2 0.426 0.000 0.625 1
Te1 0.094 0.500 0.332 1
```

Calculated values
uncorrected formation energy	0.3344	eV per atom



(3)
RbLi4Cd: optimized geometry, PBE-GGA.

Geometry as CIF:
```
data_RbLi4Cd
_chemical_formula_sum 'Rb4 Li16 Cd4'
_symmetry_space_group_name_H-M 'F -4 3 m'
_symmetry_Int_Tables_number 216
_symmetry_space_group_name_Hall 'F -4 2 3'
_cell_length_a 8.675
_cell_length_b 8.675
_cell_length_c 8.675
_cell_angle_alpha 90.00
_cell_angle_beta 90.00
_cell_angle_gamma 90.00
loop_
_atom_site_label
_atom_site_fract_x
_atom_site_fract_y
_atom_site_fract_z
_atom_site_occupancy
Rb1 0.000 0.000 0.000 1
Li1 0.122 0.122 0.378 1
Cd1 0.250 0.250 0.750 1
```

Calculated values
formation energy from the elements	0.10	eV per atom



(4)
KSm2YTe4: optimized geometry, PBE-GGA.

Geometry as CIF:
```
data_KSm2YTe4
_chemical_formula_sum 'K1 Sm2 Y1 Te4'
_symmetry_space_group_name_H-M 'P 1 2/m 1'
_symmetry_Int_Tables_number 10
_cell_length_a 7.851
_cell_length_b 4.445
_cell_length_c 7.866
_cell_angle_alpha 90.00
_cell_angle_beta 108.47
_cell_angle_gamma 90.00
loop_
_symmetry_equiv_pos_as_xyz
'x,y,z'
'-x,-y,-z'
'-x,y,-z'
'x,-y,z'
loop_
_atom_site_label
_atom_site_fract_x
_atom_site_fract_y
_atom_site_fract_z
_atom_site_occupancy
K1 0.000 0.000 0.000 1
Sm1 0.500 0.000 0.500 1
Sm2 0.500 0.500 0.000 1
Y1 0.000 0.500 0.500 1
Te1 0.250 0.000 0.741 1
Te2 0.260 0.500 0.264 1
```

Calculated values
uncorrected formation energy	-1.3405	eV per atom



(5)
Sr2LiAuN: optimized geometry, PBE-GGA.

Geometry as CIF:
```
data_Sr2LiAuN
_chemical_formula_sum 'Sr4 Li2 Au2 N2'
_symmetry_space_group_name_H-M 'P 1 21/m 1'
_symmetry_Int_Tables_number 11
_cell_length_a 7.390
_cell_length_b 3.887
_cell_length_c 8.773
_cell_angle_alpha 90.00
_cell_angle_beta 108.31
_cell_angle_gamma 90.00
loop_
_symmetry_equiv_pos_as_xyz
'x,y,z'
'-x,-y,-z'
'-x,y+1/2,-z'
'x,-y+1/2,z'
loop_
_atom_site_label
_atom_site_fract_x
_atom_site_fract_y
_atom_site_fract_z
_atom_site_occupancy
Sr1 0.166 0.250 0.365 1
Sr2 0.193 0.250 0.973 1
Li1 0.449 0.750 0.259 1
Au1 0.300 0.750 0.695 1
N1 0.171 0.750 0.171 1
```

Calculated values
polymorph energy (0 for the lowest one)	0.00	eV per formula unit
uncorrected formation energy	-0.5715	eV per atom



(6)
ZrSc2Ni: optimized geometry, PBE-GGA.

Geometry as CIF:
```
data_ZrSc2Ni
_chemical_formula_sum 'Zr3 Sc6 Ni3'
_symmetry_space_group_name_H-M 'R 3 m'
_symmetry_Int_Tables_number 160
_symmetry_space_group_name_Hall 'R 3 -2"'
_cell_length_a 3.2913
_cell_length_b 3.2913
_cell_length_c 26.4635
_cell_angle_alpha 90.00
_cell_angle_beta 90.00
_cell_angle_gamma 120.00
loop_
_atom_site_label
_atom_site_fract_x
_atom_site_fract_y
_atom_site_fract_z
_atom_site_occupancy
Zr1 0.0000 0.0000 0.0000 1
Sc1 0.0000 0.0000 0.2366 1
Sc2 0.0000 0.0000 0.4342 1
Ni1 0.0000 0.0000 0.8356 1
```

Calculated values
polymorph energy (0 for the lowest one)	0.72	eV per formula unit
formation energy from the elements	-0.07	eV per atom



(7)
ZrCoBr: optimized geometry, PBE-GGA.

Geometry as CIF:
```
data_ZrCoBr
_chemical_formula_sum 'Zr4 Co4 Br4'
_symmetry_space_group_name_H-M 'F -4 3 m'
_symmetry_Int_Tables_number 216
_symmetry_space_group_name_Hall 'F -4 2 3'
_cell_length_a 6.340
_cell_length_b 6.340
_cell_length_c 6.340
_cell_angle_alpha 90.00
_cell_angle_beta 90.00
_cell_angle_gamma 90.00
loop_
_atom_site_label
_atom_site_fract_x
_atom_site_fract_y
_atom_site_fract_z
_atom_site_occupancy
Zr1 0.000 0.000 0.000 1
Co1 0.250 0.250 0.750 1
Br1 0.250 0.250 0.250 1
```

Calculated values
uncorrected formation energy	0.3824	eV per atom



(8)
RbLaC2: optimized geometry, PBE-GGA.

Geometry as CIF:
```
data_RbLaC2
_chemical_formula_sum 'Rb4 La4 C8'
_symmetry_space_group_name_H-M 'I -4 2 d'
_symmetry_Int_Tables_number 122
_symmetry_space_group_name_Hall 'I -4 2bw'
_cell_length_a 7.175
_cell_length_b 7.175
_cell_length_c 8.449
_cell_angle_alpha 90.00
_cell_angle_beta 90.00
_cell_angle_gamma 90.00
loop_
_atom_site_label
_atom_site_fract_x
_atom_site_fract_y
_atom_site_fract_z
_atom_site_occupancy
Rb1 0.000 0.000 0.000 1
La1 0.000 0.000 0.500 1
C1 0.160 0.250 0.625 1
```

Calculated values
polymorph energy (0 for the lowest one)	0.00	eV per formula unit
formation energy from the elements	1.56	eV per atom



Number 1: volume 189.69 Å³ per cell. Number 2: volume 171.43 Å³ per cell. Number 3: volume 652.75 Å³ per cell. Number 4: volume 260.35 Å³ per cell. Number 5: volume 239.23 Å³ per cell. Number 6: volume 248.26 Å³ per cell. Number 7: volume 254.81 Å³ per cell. Number 8: volume 435.01 Å³ per cell.